No. 1
DFT (PBE-GGA) results for an optimized crystal structure of Pu3In4Au4. Values from VASP.

Its formation energy is -0.26 eV/atom. For the offset from the most stable computed form, the calculation gives 0.066 eV per atom. The uncorrected energy is -6.36 eV per atom.

```
&SYSTEM
  ibrav = 0, nat = 11, ntyp = 3
/
ATOMIC_SPECIES
Pu 244.00 Pu.upf
In 114.82 In.upf
Au 196.97 Au.upf
CELL_PARAMETERS angstrom
9.363 0.000 0.000
0.000 2.498 5.527
0.000 -2.498 5.527
ATOMIC_POSITIONS crystal
Pu 0.000 0.000 0.000
Pu 0.299 0.133 0.133
Pu 0.701 0.133 0.133
In 0.000 0.296 0.296
In 0.277 0.828 0.828
In 0.500 0.387 0.387
In 0.723 0.828 0.828
Au 0.000 0.672 0.672
Au 0.218 0.472 0.472
Au 0.500 0.651 0.651
Au 0.782 0.472 0.472
```

***

No. 2
DFT (PBE-GGA) results for an optimized crystal structure of PuIn4Au2. Values from VASP.

Its formation energy is -0.27 eV/atom. The uncorrected energy is -4.82 eV per atom.

```
&SYSTEM
  ibrav = 0, nat = 28, ntyp = 3
/
ATOMIC_SPECIES
Pu 244.00 Pu.upf
In 114.82 In.upf
Au 196.97 Au.upf
CELL_PARAMETERS angstrom
18.709 0.000 0.000
0.000 4.646 0.000
0.000 0.000 7.589
ATOMIC_POSITIONS crystal
Pu 0.142 0.250 0.034
Pu 0.358 0.750 0.534
Pu 0.642 0.250 0.466
Pu 0.858 0.750 0.966
In 0.035 0.750 0.861
In 0.067 0.250 0.488
In 0.186 0.750 0.332
In 0.188 0.750 0.743
In 0.312 0.250 0.243
In 0.314 0.250 0.832
In 0.433 0.750 0.988
In 0.465 0.250 0.361
In 0.535 0.750 0.639
In 0.567 0.250 0.012
In 0.686 0.750 0.168
In 0.688 0.750 0.757
In 0.812 0.250 0.257
In 0.814 0.250 0.668
In 0.933 0.750 0.512
In 0.965 0.250 0.139
Au 0.040 0.750 0.244
Au 0.219 0.250 0.540
Au 0.281 0.750 0.040
Au 0.460 0.250 0.744
Au 0.540 0.750 0.256
Au 0.719 0.250 0.960
Au 0.781 0.750 0.460
Au 0.960 0.250 0.756
```

***

No. 3
DFT (PBE-GGA) results for an optimized crystal structure of Pu3In2Au9. Values from VASP.

Its formation energy is -0.34 eV/atom. The uncorrected energy is -5.91 eV per atom.

```
&SYSTEM
  ibrav = 0, nat = 14, ntyp = 3
/
ATOMIC_SPECIES
Pu 244.00 Pu.upf
In 114.82 In.upf
Au 196.97 Au.upf
CELL_PARAMETERS angstrom
-2.198 5.205 6.793
2.198 -5.205 6.793
2.198 5.205 -6.793
ATOMIC_POSITIONS crystal
Pu 0.000 0.000 0.000
Pu 0.287 0.287 0.000
Pu 0.713 0.713 0.000
In 0.318 0.500 0.818
In 0.682 0.500 0.182
Au 0.018 0.648 0.370
Au 0.151 0.853 0.298
Au 0.278 0.648 0.630
Au 0.446 0.147 0.298
Au 0.500 0.000 0.500
Au 0.554 0.853 0.702
Au 0.722 0.352 0.370
Au 0.849 0.147 0.702
Au 0.982 0.352 0.630
```

***

No. 4
DFT (PBE-GGA) results for an optimized crystal structure of Pu3In2Au8. Values from VASP.

Its formation energy is -0.14 eV/atom. The uncorrected energy is -5.88 eV per atom.

```
&SYSTEM
  ibrav = 0, nat = 13, ntyp = 3
/
ATOMIC_SPECIES
Pu 244.00 Pu.upf
In 114.82 In.upf
Au 196.97 Au.upf
CELL_PARAMETERS angstrom
2.736 1.580 12.813
-2.736 1.580 12.813
0.000 -3.160 12.813
ATOMIC_POSITIONS crystal
Pu 0.000 0.000 0.000
Pu 0.217 0.217 0.217
Pu 0.783 0.783 0.783
In 0.309 0.309 0.309
In 0.691 0.691 0.691
Au 0.237 0.237 0.736
Au 0.237 0.736 0.237
Au 0.264 0.763 0.763
Au 0.466 0.466 0.466
Au 0.534 0.534 0.534
Au 0.736 0.237 0.237
Au 0.763 0.264 0.763
Au 0.763 0.763 0.264
```

***

No. 5
DFT (PBE-GGA) results for an optimized crystal structure of Pu2In3Au4. Values from VASP.

Its formation energy is -0.31 eV/atom. For the offset from the most stable computed form, the calculation gives 0.020 eV per atom. The uncorrected energy is -5.87 eV per atom.

```
&SYSTEM
  ibrav = 0, nat = 18, ntyp = 3
/
ATOMIC_SPECIES
Pu 244.00 Pu.upf
In 114.82 In.upf
Au 196.97 Au.upf
CELL_PARAMETERS angstrom
3.119 -8.376 0.000
3.119 8.376 0.000
0.000 0.000 7.967
ATOMIC_POSITIONS crystal
Pu 0.096 0.904 0.898
Pu 0.404 0.596 0.398
Pu 0.596 0.404 0.602
Pu 0.904 0.096 0.102
In 0.000 0.000 0.500
In 0.016 0.484 0.750
In 0.484 0.016 0.250
In 0.500 0.500 0.000
In 0.516 0.984 0.750
In 0.984 0.516 0.250
Au 0.169 0.831 0.530
Au 0.187 0.313 0.750
Au 0.313 0.187 0.250
Au 0.331 0.669 0.030
Au 0.669 0.331 0.970
Au 0.687 0.813 0.750
Au 0.813 0.687 0.250
Au 0.831 0.169 0.470
```

***

No. 6
DFT (PBE-GGA) results for an optimized crystal structure of Pu2In3Au4. Values from VASP.

Its formation energy is -0.33 eV/atom. For the offset from the most stable computed form, the calculation gives 0.000 eV per atom. The uncorrected energy is -5.89 eV per atom.

```
&SYSTEM
  ibrav = 0, nat = 9, ntyp = 3
/
ATOMIC_SPECIES
Pu 244.00 Pu.upf
In 114.82 In.upf
Au 196.97 Au.upf
CELL_PARAMETERS angstrom
4.953 0.000 0.000
-2.476 4.289 0.000
0.000 0.000 9.664
ATOMIC_POSITIONS crystal
Pu 0.333 0.667 0.220
Pu 0.667 0.333 0.780
In 0.000 0.000 0.000
In 0.333 0.667 0.583
In 0.667 0.333 0.417
Au 0.000 0.000 0.347
Au 0.000 0.000 0.653
Au 0.333 0.667 0.904
Au 0.667 0.333 0.096
```

***

No. 7
DFT (PBE-GGA) results for an optimized crystal structure of PuInAu4. Values from VASP.

Its formation energy is -0.27 eV/atom. For the offset from the most stable computed form, the calculation gives 0.000 eV per atom. The uncorrected energy is -5.30 eV per atom.

```
&SYSTEM
  ibrav = 0, nat = 6, ntyp = 3
/
ATOMIC_SPECIES
Pu 244.00 Pu.upf
In 114.82 In.upf
Au 196.97 Au.upf
CELL_PARAMETERS angstrom
0.000 3.991 3.991
3.991 0.000 3.991
3.991 3.991 0.000
ATOMIC_POSITIONS crystal
Pu 0.000 0.000 0.000
In 0.750 0.750 0.750
Au 0.375 0.375 0.375
Au 0.375 0.375 0.875
Au 0.375 0.875 0.375
Au 0.875 0.375 0.375
```

***

No. 8
DFT (PBE-GGA) results for an optimized crystal structure of Pu3In3Au2. Values from VASP.

Its formation energy is -0.27 eV/atom. The uncorrected energy is -7.49 eV per atom.

```
&SYSTEM
  ibrav = 0, nat = 8, ntyp = 3
/
ATOMIC_SPECIES
Pu 244.00 Pu.upf
In 114.82 In.upf
Au 196.97 Au.upf
CELL_PARAMETERS angstrom
8.438 -2.453 0.000
8.438 2.453 0.000
-1.368 0.000 4.652
ATOMIC_POSITIONS crystal
Pu 0.000 0.000 0.000
Pu 0.134 0.134 0.636
Pu 0.866 0.866 0.364
In 0.357 0.357 0.857
In 0.500 0.500 0.500
In 0.643 0.643 0.143
Au 0.245 0.245 0.246
Au 0.755 0.755 0.754
```

***

No. 9
DFT (PBE-GGA) results for an optimized crystal structure of PuIn3Au3. Values from VASP.

Its formation energy is 0.15 eV/atom. For the offset from the most stable computed form, the calculation gives 0.046 eV per atom. The uncorrected energy is -4.48 eV per atom.

```
&SYSTEM
  ibrav = 0, nat = 14, ntyp = 3
/
ATOMIC_SPECIES
Pu 244.00 Pu.upf
In 114.82 In.upf
Au 196.97 Au.upf
CELL_PARAMETERS angstrom
7.545 0.000 0.000
0.000 7.545 0.000
0.000 0.000 7.545
ATOMIC_POSITIONS crystal
Pu 0.000 0.000 0.000
Pu 0.500 0.500 0.500
In 0.000 0.250 0.500
In 0.000 0.750 0.500
In 0.250 0.500 0.000
In 0.500 0.000 0.250
In 0.500 0.000 0.750
In 0.750 0.500 0.000
Au 0.000 0.500 0.250
Au 0.000 0.500 0.750
Au 0.250 0.000 0.500
Au 0.500 0.250 0.000
Au 0.500 0.750 0.000
Au 0.750 0.000 0.500
```

***

No. 10
DFT (PBE-GGA) results for an optimized crystal structure of PuIn2Au5. Values from VASP.

Its formation energy is -0.24 eV/atom. The uncorrected energy is -4.76 eV per atom.

```
&SYSTEM
  ibrav = 0, nat = 8, ntyp = 3
/
ATOMIC_SPECIES
Pu 244.00 Pu.upf
In 114.82 In.upf
Au 196.97 Au.upf
CELL_PARAMETERS angstrom
-2.030 3.496 6.322
2.030 -3.496 6.322
2.030 3.496 -6.322
ATOMIC_POSITIONS crystal
Pu 0.000 0.000 0.000
In 0.262 0.762 0.500
In 0.738 0.238 0.500
Au 0.170 0.385 0.785
Au 0.400 0.615 0.785
Au 0.500 0.000 0.500
Au 0.600 0.385 0.215
Au 0.830 0.615 0.215
```

***

No. 11
DFT (PBE-GGA) results for an optimized crystal structure of Pu2In3Au. Values from VASP.

Its formation energy is -0.28 eV/atom. The uncorrected energy is -6.97 eV per atom.

```
&SYSTEM
  ibrav = 0, nat = 6, ntyp = 3
/
ATOMIC_SPECIES
Pu 244.00 Pu.upf
In 114.82 In.upf
Au 196.97 Au.upf
CELL_PARAMETERS angstrom
3.267 0.000 0.000
0.000 5.056 0.000
0.000 0.000 8.798
ATOMIC_POSITIONS crystal
Pu 0.000 0.000 0.000
Pu 0.000 0.500 0.481
In 0.500 0.000 0.648
In 0.500 0.500 0.161
In 0.500 0.500 0.823
Au 0.500 0.000 0.321
```